Entry w
Compound: LiCd3F
Source: Alexandria via LeMat-Bulk
Functional: PBE-GGA
Structure: optimized geometry

CIF file:
```
data_LiCd3F
_cell_length_a 4.894
_cell_length_b 4.894
_cell_length_c 4.894
_cell_angle_alpha 90.00
_cell_angle_beta 90.00
_cell_angle_gamma 90.00
_space_group_name_H-M_alt 'P m -3 m'
_space_group_IT_number 221
_space_group_name_Hall '-P 4 2 3'
loop_
_atom_site_label
_atom_site_type_symbol
_atom_site_fract_x
_atom_site_fract_y
_atom_site_fract_z
_atom_site_occupancy
Li1 Li 0.000 0.000 0.000 1
Cd1 Cd 0.000 0.500 0.500 1
F1 F 0.500 0.500 0.500 1
```

## Properties
Spin magnetization ... 0.00 μB per cell
Theoretical density ... 5.15 Mg/m³


Entry x
Compound: LiCd3F
Source: Alexandria via LeMat-Bulk
Functional: PBE-GGA
Structure: optimized geometry

CIF file:
```
data_LiCd3F
_cell_length_a 4.992
_cell_length_b 4.992
_cell_length_c 4.992
_cell_angle_alpha 90.00
_cell_angle_beta 90.00
_cell_angle_gamma 90.00
_space_group_name_H-M_alt 'P m -3 m'
_space_group_IT_number 221
_space_group_name_Hall '-P 4 2 3'
loop_
_atom_site_label
_atom_site_type_symbol
_atom_site_fract_x
_atom_site_fract_y
_atom_site_fract_z
_atom_site_occupancy
Li1 Li 0.000 0.000 0.000 1
Cd1 Cd 0.000 0.000 0.500 1
F1 F 0.500 0.500 0.500 1
```

## Properties
Spin magnetization ... 0.00 μB per cell
Theoretical density ... 4.85 Mg/m³


In order of decreasing stability: entry w, entry x.